Here is crystalline Cu2Hg2Pd at its relaxed geometry from Alexandria via LeMat-Bulk. Energies are from PBE.

Calculated values
* energy above the lowest structure with this stoichiometry: 0.04 eV/f.u.
* spin magnetization: 0.0000 μB/atom
* E_form: 0.546 eV/f.u.

The structure in POSCAR format:
```
Cu2Hg2Pd
1.0
6.7931 0.0000 0.0000
0.0000 6.7931 0.0000
0.0000 0.0000 3.6820
Hg Cu Pd
4 4 2
Cartesian
5.6182 2.2217 1.8410
4.5714 5.6182 1.8410
1.1749 4.5714 1.8410
2.2217 1.1749 1.8410
2.5281 5.9246 0.0000
0.8684 2.5281 0.0000
4.2650 0.8684 0.0000
5.9246 4.2650 0.0000
0.0000 0.0000 0.0000
3.3965 3.3965 0.0000
```


Here is crystalline CuHg2Pd at its relaxed geometry from Alexandria via LeMat-Bulk. Energies are from PBE.

Calculated values
* spin magnetization: 0.0000 μB/atom
* E_form: 0.124 eV/f.u.

The structure in POSCAR format:
```
CuHg2Pd
1.0
3.3071 0.0000 0.0000
0.0000 3.3071 0.0000
0.0000 0.0000 6.4248
Pd Hg Cu
1 2 1
Cartesian
1.6535 1.6535 0.0000
0.0000 0.0000 1.6700
0.0000 0.0000 4.7547
1.6535 1.6535 3.2124
```


Here is crystalline CuHgPd2 at its relaxed geometry from Alexandria via LeMat-Bulk. Energies are from PBE.

Calculated values
* spin magnetization: 0.0000 μB/atom
* E_form: 0.813 eV/f.u.

The structure in POSCAR format:
```
CuHgPd2
1.0
4.8688 -1.7245 -3.0150
-1.4973 4.9434 3.0150
-3.4452 0.2335 4.8831
Pd Cu Hg
2 1 1
Cartesian
-1.1752 1.2309 1.8780
-3.7673 3.9459 6.0201
0.0000 0.0000 0.0000
-2.4713 2.5884 3.9490
```